# Sc3ReNi (PBE, relaxed)
data_Sc3ReNi
_chemical_formula_sum 'Sc3 Re1 Ni1'
_cell_length_a 4.983
_cell_length_b 4.983
_cell_length_c 4.983
_cell_angle_alpha 90.00
_cell_angle_beta 90.00
_cell_angle_gamma 90.00
_symmetry_space_group_name_H-M 'P 1'
_symmetry_Int_Tables_number 1
loop_
_symmetry_equiv_pos_as_xyz
'x,y,z'
loop_
_atom_site_label
_atom_site_type_symbol
_atom_site_fract_x
_atom_site_fract_y
_atom_site_fract_z
Sc1 Sc 0.000 0.500 0.000
Sc2 Sc 0.500 0.000 0.000
Sc3 Sc 0.000 0.000 0.500
Ni1 Ni 0.500 0.500 0.500
Re1 Re 0.000 0.000 0.000
# Offset from the most stable computed form ... 104.0 meV/atom
# Crystal system ... cubic
# Calculated formation energy ... 0.58 eV/atom

# Ta2TlIn (PBE, relaxed)
data_Ta2TlIn
_chemical_formula_sum 'Ta2 Tl1 In1'
_cell_length_a 4.839
_cell_length_b 4.839
_cell_length_c 4.839
_cell_angle_alpha 60.00
_cell_angle_beta 60.00
_cell_angle_gamma 60.00
_symmetry_space_group_name_H-M 'P 1'
_symmetry_Int_Tables_number 1
loop_
_symmetry_equiv_pos_as_xyz
'x,y,z'
loop_
_atom_site_label
_atom_site_type_symbol
_atom_site_fract_x
_atom_site_fract_y
_atom_site_fract_z
Tl1 Tl 0.500 0.500 0.500
In1 In 0.000 0.000 0.000
Ta1 Ta 0.750 0.750 0.750
Ta2 Ta 0.250 0.250 0.250
# Offset from the most stable computed form ... 387.9 meV/atom
# Crystal system ... cubic
# Calculated formation energy ... 0.71 eV/atom

# SnHI2 (PBE, relaxed)
data_SnHI2
_chemical_formula_sum 'Sn2 H2 I4'
_cell_length_a 7.967
_cell_length_b 7.967
_cell_length_c 7.118
_cell_angle_alpha 55.97
_cell_angle_beta 55.97
_cell_angle_gamma 90.00
_symmetry_space_group_name_H-M 'P 1'
_symmetry_Int_Tables_number 1
loop_
_symmetry_equiv_pos_as_xyz
'x,y,z'
loop_
_atom_site_label
_atom_site_type_symbol
_atom_site_fract_x
_atom_site_fract_y
_atom_site_fract_z
Sn1 Sn 0.750 0.250 0.500
Sn2 Sn 0.000 0.000 0.000
H1 H 0.250 0.750 0.500
H2 H 0.500 0.500 0.000
I1 I 0.608 0.125 0.250
I2 I 0.875 0.858 0.750
I3 I 0.375 0.392 0.750
I4 I 0.142 0.625 0.250
# Crystal system ... tetragonal
# Calculated total energy ... -2.32 eV per atom

# LuPaTe2 (PBE, relaxed)
data_LuPaTe2
_chemical_formula_sum 'Lu1 Pa1 Te2'
_cell_length_a 3.916
_cell_length_b 3.916
_cell_length_c 10.399
_cell_angle_alpha 79.15
_cell_angle_beta 79.15
_cell_angle_gamma 60.00
_symmetry_space_group_name_H-M 'P 1'
_symmetry_Int_Tables_number 1
loop_
_symmetry_equiv_pos_as_xyz
'x,y,z'
loop_
_atom_site_label
_atom_site_type_symbol
_atom_site_fract_x
_atom_site_fract_y
_atom_site_fract_z
Te1 Te 0.903 0.903 0.292
Te2 Te 0.097 0.097 0.708
Lu1 Lu 0.000 0.000 0.000
Pa1 Pa 0.500 0.500 0.500
# Formation energy from raw total energies ... -1.91 eV/f.u.
# Offset from the most stable computed form ... 335.3 meV/atom
# Crystal system ... trigonal

# SrCu2Br (PBE, relaxed)
data_SrCu2Br
_chemical_formula_sum 'Sr1 Cu2 Br1'
_cell_length_a 5.812
_cell_length_b 5.812
_cell_length_c 5.812
_cell_angle_alpha 47.04
_cell_angle_beta 47.04
_cell_angle_gamma 47.04
_symmetry_space_group_name_H-M 'P 1'
_symmetry_Int_Tables_number 1
loop_
_symmetry_equiv_pos_as_xyz
'x,y,z'
loop_
_atom_site_label
_atom_site_type_symbol
_atom_site_fract_x
_atom_site_fract_y
_atom_site_fract_z
Cu1 Cu 0.461 0.461 0.461
Cu2 Cu 0.039 0.039 0.039
Sr1 Sr 0.250 0.250 0.250
Br1 Br 0.750 0.750 0.750
# Formation energy from raw total energies ... 0.37 eV/f.u.
# Offset from the most stable computed form ... 562.6 meV/atom
# Crystal system ... trigonal

# Li2CePN4 (PBE, relaxed)
data_Li2CePN4
_chemical_formula_sum 'Li2 Ce1 P1 N4'
_cell_length_a 5.232
_cell_length_b 4.869
_cell_length_c 4.869
_cell_angle_alpha 81.10
_cell_angle_beta 57.50
_cell_angle_gamma 57.50
_symmetry_space_group_name_H-M 'P 1'
_symmetry_Int_Tables_number 1
loop_
_symmetry_equiv_pos_as_xyz
'x,y,z'
loop_
_atom_site_label
_atom_site_type_symbol
_atom_site_fract_x
_atom_site_fract_y
_atom_site_fract_z
Ce1 Ce 0.000 0.000 0.000
P1 P 0.000 0.500 0.500
N1 N 0.373 0.170 0.456
N2 N 0.000 0.830 0.544
N3 N 0.000 0.456 0.170
N4 N 0.627 0.544 0.830
Li1 Li 0.500 0.750 0.250
Li2 Li 0.500 0.250 0.750
# Formation energy from raw total energies ... -6.07 eV/f.u.
# Crystal system ... tetragonal

# LiLa2MgN (PBE, relaxed)
data_LiLa2MgN
_chemical_formula_sum 'Li1 La2 Mg1 N1'
_cell_length_a 5.151
_cell_length_b 5.151
_cell_length_c 4.436
_cell_angle_alpha 90.00
_cell_angle_beta 90.00
_cell_angle_gamma 90.00
_symmetry_space_group_name_H-M 'P 1'
_symmetry_Int_Tables_number 1
loop_
_symmetry_equiv_pos_as_xyz
'x,y,z'
loop_
_atom_site_label
_atom_site_type_symbol
_atom_site_fract_x
_atom_site_fract_y
_atom_site_fract_z
N1 N 0.000 0.000 0.000
La1 La 0.000 0.500 0.000
La2 La 0.500 0.000 0.000
Mg1 Mg 0.500 0.500 0.500
Li1 Li 0.000 0.000 0.500
# Formation energy from raw total energies ... -2.29 eV/f.u.
# Offset from the most stable computed form ... 0.0 meV/atom
# Crystal system ... tetragonal

# CdPbIN2 (PBE, relaxed)
data_CdPbIN2
_chemical_formula_sum 'Cd1 Pb1 I1 N2'
_cell_length_a 4.479
_cell_length_b 4.479
_cell_length_c 6.835
_cell_angle_alpha 90.00
_cell_angle_beta 90.00
_cell_angle_gamma 90.00
_symmetry_space_group_name_H-M 'P 1'
_symmetry_Int_Tables_number 1
loop_
_symmetry_equiv_pos_as_xyz
'x,y,z'
loop_
_atom_site_label
_atom_site_type_symbol
_atom_site_fract_x
_atom_site_fract_y
_atom_site_fract_z
Pb1 Pb 0.000 0.000 0.000
N1 N 0.000 0.500 0.000
N2 N 0.500 0.000 0.000
I1 I 0.000 0.000 0.500
Cd1 Cd 0.500 0.500 0.500
# Formation energy from raw total energies ... 7.16 eV/f.u.
# Offset from the most stable computed form ... 0.0 meV/atom
# Crystal system ... tetragonal

# Mg2ScW (PBE, relaxed)
data_Mg2ScW
_chemical_formula_sum 'Mg2 Sc1 W1'
_cell_length_a 10.574
_cell_length_b 10.574
_cell_length_c 10.574
_cell_angle_alpha 16.08
_cell_angle_beta 16.08
_cell_angle_gamma 16.08
_symmetry_space_group_name_H-M 'P 1'
_symmetry_Int_Tables_number 1
loop_
_symmetry_equiv_pos_as_xyz
'x,y,z'
loop_
_atom_site_label
_atom_site_type_symbol
_atom_site_fract_x
_atom_site_fract_y
_atom_site_fract_z
W1 W 0.750 0.750 0.750
Sc1 Sc 0.250 0.250 0.250
Mg1 Mg 0.006 0.006 0.006
Mg2 Mg 0.494 0.494 0.494
# Offset from the most stable computed form ... 190.8 meV/atom
# Crystal system ... trigonal
# Calculated formation energy ... 0.38 eV/atom

# ErSF (PBE, relaxed)
data_ErSF
_chemical_formula_sum 'Er2 S2 F2'
_cell_length_a 3.479
_cell_length_b 9.219
_cell_length_c 4.136
_cell_angle_alpha 90.00
_cell_angle_beta 90.00
_cell_angle_gamma 100.95
_symmetry_space_group_name_H-M 'P 1'
_symmetry_Int_Tables_number 1
loop_
_symmetry_equiv_pos_as_xyz
'x,y,z'
loop_
_atom_site_label
_atom_site_type_symbol
_atom_site_fract_x
_atom_site_fract_y
_atom_site_fract_z
S1 S 0.308 0.615 0.750
S2 S 0.692 0.385 0.250
Er1 Er 0.847 0.694 0.250
Er2 Er 0.153 0.306 0.750
F1 F 0.576 0.155 0.750
F2 F 0.424 0.845 0.250
# Formation energy from raw total energies ... -8.51 eV/f.u.
# Crystal system ... monoclinic

# CsYCl3 (PBE, relaxed)
data_CsYCl3
_chemical_formula_sum 'Cs2 Y2 Cl6'
_cell_length_a 18.527
_cell_length_b 6.945
_cell_length_c 6.945
_cell_angle_alpha 133.99
_cell_angle_beta 142.64
_cell_angle_gamma 37.36
_symmetry_space_group_name_H-M 'P 1'
_symmetry_Int_Tables_number 1
loop_
_symmetry_equiv_pos_as_xyz
'x,y,z'
loop_
_atom_site_label
_atom_site_type_symbol
_atom_site_fract_x
_atom_site_fract_y
_atom_site_fract_z
Cl1 Cl 0.925 0.448 0.552
Cl2 Cl 0.659 0.201 0.799
Cl3 Cl 0.075 0.552 0.448
Cl4 Cl 0.823 0.265 0.735
Cl5 Cl 0.341 0.799 0.201
Cl6 Cl 0.177 0.735 0.265
Cs1 Cs 0.385 0.013 0.987
Cs2 Cs 0.615 0.987 0.013
Y1 Y 0.062 0.091 0.909
Y2 Y 0.938 0.909 0.091
# Formation energy from raw total energies ... -9.64 eV/f.u.
# Crystal system ... monoclinic

# Mg2Au (PBE, relaxed)
data_Mg2Au
_chemical_formula_sum 'Mg16 Au8'
_cell_length_a 8.763
_cell_length_b 8.763
_cell_length_c 8.763
_cell_angle_alpha 60.00
_cell_angle_beta 60.00
_cell_angle_gamma 60.00
_symmetry_space_group_name_H-M 'P 1'
_symmetry_Int_Tables_number 1
loop_
_symmetry_equiv_pos_as_xyz
'x,y,z'
loop_
_atom_site_label
_atom_site_type_symbol
_atom_site_fract_x
_atom_site_fract_y
_atom_site_fract_z
Au1 Au 0.339 0.220 0.720
Au2 Au 0.280 0.161 0.280
Au3 Au 0.720 0.839 0.720
Au4 Au 0.280 0.780 0.661
Au5 Au 0.280 0.780 0.280
Au6 Au 0.720 0.220 0.339
Au7 Au 0.720 0.220 0.720
Au8 Au 0.661 0.780 0.280
Mg1 Mg 0.069 0.181 0.069
Mg2 Mg 0.000 0.000 0.500
Mg3 Mg 0.319 0.431 0.931
Mg4 Mg 0.069 0.181 0.681
Mg5 Mg 0.500 0.000 0.000
Mg6 Mg 0.931 0.819 0.931
Mg7 Mg 0.500 0.000 0.500
Mg8 Mg 0.681 0.569 0.069
Mg9 Mg 0.069 0.569 0.681
Mg10 Mg 0.319 0.431 0.319
Mg11 Mg 0.319 0.819 0.931
Mg12 Mg 0.500 0.500 0.500
Mg13 Mg 0.931 0.431 0.319
Mg14 Mg 0.931 0.819 0.319
Mg15 Mg 0.681 0.181 0.069
Mg16 Mg 0.681 0.569 0.681
# Crystal system ... cubic
# Calculated formation energy ... -0.50 eV/atom